An optimized crystal structure of MnCu2Ag. Source: Alexandria, functional PBE-GGA.

Output
SG: Pm
Fermi-level density of states: 2.236 states/eV/f.u.
formation enthalpy at 0 K: 0.8 eV per formula unit

Geometry as POSCAR:
```
MnCu2Ag
1.0
4.145 0.000 0.000
0.000 2.758 0.161
0.000 1.069 5.094
Cu Mn Ag
2 1 1
Cartesian
2.073 0.439 1.347
0.000 1.582 5.122
0.000 1.757 2.409
2.073 3.029 4.098
```



An optimized crystal structure of ScMn2Si. Source: Alexandria, functional PBE-GGA.

Output
SG: R-3m
uncorrected formation energy: 15.6 kJ/mol of atoms
Fermi-level density of states: 3.549 states/eV/f.u.

Geometry as POSCAR:
```
ScMn2Si
1.0
-0.297 7.146 4.572
-2.762 7.406 3.094
-2.694 5.854 5.525
Sc Mn Si
1 2 1
Cartesian
-1.438 5.101 3.298
-2.831 10.041 6.491
-0.046 0.162 0.105
-4.315 15.304 9.894
```



An optimized crystal structure of Sr2MgPd3. Source: Alexandria, functional PBE-GGA.

Output
SG: Immm
Fermi-level density of states: 3.089 states/eV/f.u.
formation enthalpy at 0 K: -2.4 eV per formula unit

Geometry as POSCAR:
```
Sr2MgPd3
1.0
-0.253 -3.948 2.473
5.599 0.439 1.274
-3.960 4.736 2.754
Pd Sr Mg
3 2 1
Cartesian
0.000 0.000 0.000
2.366 -1.043 2.978
-0.980 2.270 3.524
-0.588 -0.906 2.895
1.974 2.132 3.606
2.800 0.220 0.637
```



An optimized crystal structure of ZnFe2Br. Source: Alexandria, functional PBE-GGA.

Output
SG: I-42d
uncorrected formation energy: 70.4 kJ/mol of atoms
Fermi-level density of states: 4.987 states/eV/f.u.

Geometry as POSCAR:
```
ZnFe2Br
1.0
6.923 0.000 0.000
0.000 6.923 0.000
3.461 3.461 2.831
Fe Br Zn
4 2 2
Cartesian
5.192 5.157 2.123
1.696 5.192 0.708
8.653 8.689 2.123
5.227 1.731 0.708
0.000 0.000 0.000
6.923 3.461 1.415
3.461 6.923 1.415
3.461 3.461 0.000
```



An optimized crystal structure of Pr2DyRu. Source: Alexandria, functional PBE-GGA.

Output
SG: Pnma
Fermi-level density of states: 3.898 states/eV/f.u.
formation enthalpy at 0 K: -0.8 eV per formula unit

Geometry as POSCAR:
```
Pr2DyRu
1.0
-4.366 3.629 -2.989
0.341 -4.441 -5.891
-7.148 -5.516 3.745
Pr Dy Ru
8 4 4
Cartesian
-4.480 -1.985 -0.399
-7.555 -1.548 -2.263
-0.986 -2.749 -4.251
-6.694 -4.343 -4.735
-10.187 -3.579 -0.884
-3.618 -4.780 -2.872
-1.848 0.046 -1.778
-9.326 -6.375 -3.356
-5.681 -7.844 -3.262
-4.430 -1.446 -4.207
-6.743 -4.883 -0.927
-5.492 1.516 -1.872
-1.836 -2.937 -1.451
-9.338 -3.392 -3.683
-7.685 -2.687 0.510
-3.489 -3.642 -5.645
```



An optimized crystal structure of La2ReAg. Source: Alexandria, functional PBE-GGA.

Output
SG: F-43m
Fermi-level density of states: 5.946 states/eV/f.u.
formation enthalpy at 0 K: 1.7 eV per formula unit

Geometry as POSCAR:
```
La2ReAg
1.0
-4.509 1.600 -1.593
-3.181 -3.224 -2.217
-4.187 -1.463 2.400
La Ag Re
2 1 1
Cartesian
0.000 0.000 0.000
-2.969 -0.772 -0.352
-5.938 -1.543 -0.705
-8.907 -2.315 -1.057
```



An optimized crystal structure of HoMg2SnPd4. Source: Alexandria, functional PBE-GGA.

Output
SG: R-3m
Fermi-level density of states: 2.074 states/eV/f.u.
formation enthalpy at 0 K: -6.0 eV per formula unit

Geometry as POSCAR:
```
HoMg2SnPd4
1.0
-0.483 -2.376 4.023
0.126 -4.696 -0.016
7.350 -2.160 2.348
Pd Sn Mg Ho
4 1 2 1
Cartesian
0.777 -4.688 2.809
2.501 -6.997 4.395
6.217 -4.545 3.547
4.492 -2.236 1.961
3.497 -4.616 3.178
1.768 -2.308 1.592
5.225 -6.925 4.764
0.000 0.000 0.000
```



An optimized crystal structure of Os2Rh2C. Source: Alexandria, functional PBE-GGA.

Output
SG: P4/mbm
Fermi-level density of states: 5.344 states/eV/f.u.
formation enthalpy at 0 K: 7.9 eV per formula unit

Geometry as POSCAR:
```
Os2Rh2C
1.0
-3.877 -5.818 2.692
6.377 -3.174 2.322
-0.239 1.260 2.379
C Rh Os
2 4 4
Cartesian
0.000 0.000 0.000
1.250 -4.496 2.507
1.105 -6.943 3.789
1.396 -2.049 1.226
-1.501 -4.481 2.223
4.001 -4.511 2.792
3.371 -2.044 2.957
-1.110 -5.688 4.437
-0.818 -1.959 2.491
3.080 -5.773 4.903
```



An optimized crystal structure of Rb4Pr3HoSe8. Source: Alexandria, functional PBE-GGA.

Output
SG: R-3m
uncorrected formation energy: -166.8 kJ/mol of atoms
Fermi-level density of states: 0.000 states/eV/f.u.

Geometry as POSCAR:
```
Rb4Pr3HoSe8
1.0
8.729 0.000 0.000
0.000 9.463 0.508
-4.365 -4.360 6.176
Se Pr Rb Ho
8 3 4 1
Cartesian
0.000 0.490 3.429
2.245 2.382 6.352
2.120 2.721 0.333
6.610 2.721 0.333
4.365 0.478 3.509
0.000 4.625 3.175
-2.245 2.382 6.352
4.365 4.613 3.255
-2.182 2.551 3.342
4.365 4.732 0.254
2.182 2.551 3.342
4.365 0.000 0.000
0.000 0.000 0.000
-2.182 -2.180 3.088
2.182 -2.180 3.088
0.000 4.732 0.254
```



An optimized crystal structure of Zr4NiSb. Source: Alexandria, functional PBE-GGA.

Output
SG: F-43m
uncorrected formation energy: 31.9 kJ/mol of atoms
Fermi-level density of states: 5.648 states/eV/f.u.

Geometry as POSCAR:
```
Zr4NiSb
1.0
3.782 2.789 3.190
-1.745 3.030 4.477
1.147 -1.795 5.266
Zr Ni Sb
4 1 1
Cartesian
0.322 3.023 7.088
1.194 1.509 4.850
3.085 2.903 6.445
1.768 0.612 7.482
2.388 3.018 9.699
0.000 0.000 0.000
```



An optimized crystal structure of ReWCl2. Source: Alexandria, functional PBE-GGA.

Output
SG: Pm
uncorrected formation energy: -17.5 kJ/mol of atoms
Fermi-level density of states: 2.159 states/eV/f.u.

Geometry as POSCAR:
```
ReWCl2
1.0
-0.728 0.040 2.889
2.961 -1.159 0.762
2.979 8.174 0.639
Re Cl W
1 2 1
Cartesian
2.717 3.984 0.630
5.374 6.580 1.265
1.688 2.214 1.932
4.343 4.800 2.565
```



An optimized crystal structure of NbCo2Te6. Source: Alexandria, functional PBE-GGA.

Output
SG: C2/c
uncorrected formation energy: -9.7 kJ/mol of atoms
Fermi-level density of states: 7.127 states/eV/f.u.

Geometry as POSCAR:
```
NbCo2Te6
1.0
6.228 0.129 0.125
2.060 8.673 -0.651
2.060 -0.370 8.689
Co Te Nb
4 12 2
Cartesian
2.532 2.263 3.892
7.816 6.169 4.271
4.702 4.404 5.965
5.646 4.028 2.198
7.904 7.831 6.152
4.878 2.736 7.799
5.558 2.093 0.597
7.992 7.948 2.545
1.865 4.190 2.406
5.369 5.827 3.991
2.356 0.483 5.618
5.470 5.695 0.363
4.979 2.605 4.172
2.444 0.600 2.010
8.483 4.242 5.757
4.790 6.338 7.565
3.617 0.299 8.063
6.731 8.133 0.100
```



An optimized crystal structure of MnBeTl2. Source: Alexandria, functional PBE-GGA.

Output
SG: F-43m
Fermi-level density of states: 2.174 states/eV/f.u.
formation enthalpy at 0 K: 3.3 eV per formula unit

Geometry as POSCAR:
```
MnBeTl2
1.0
4.932 0.000 0.000
2.466 4.271 0.000
2.466 1.424 4.027
Be Tl Mn
1 2 1
Cartesian
4.932 2.847 2.013
0.000 0.000 0.000
2.466 1.424 1.007
7.397 4.271 3.020
```



An optimized crystal structure of IrRuCl2. Source: Alexandria, functional PBE-GGA.

Output
SG: Pm
uncorrected formation energy: 4.4 kJ/mol of atoms
Fermi-level density of states: 3.184 states/eV/f.u.

Geometry as POSCAR:
```
IrRuCl2
1.0
3.402 0.000 0.000
0.000 2.919 0.006
0.000 -0.044 8.174
Ru Cl Ir
1 2 1
Cartesian
1.701 2.525 5.799
1.701 1.072 2.758
0.000 2.523 7.453
0.000 1.069 4.441
```



An optimized crystal structure of Li4La5Zn4. Source: Alexandria, functional PBE-GGA.

Output
SG: I4/m
Fermi-level density of states: 13.295 states/eV/f.u.
formation enthalpy at 0 K: -1.8 eV per formula unit

Geometry as POSCAR:
```
Li4La5Zn4
1.0
-0.682 0.045 3.842
8.124 -3.064 3.461
2.715 8.627 2.362
Li La Zn
4 5 4
Cartesian
3.745 3.556 4.587
5.481 4.182 6.869
6.412 2.052 5.078
4.676 1.426 2.796
1.425 2.812 2.202
0.000 0.000 0.000
5.117 6.861 4.791
8.732 2.796 7.463
5.040 -1.253 4.873
7.618 4.810 5.260
2.539 0.798 4.405
6.707 0.252 7.134
3.450 5.356 2.531
```



An optimized crystal structure of Nd3Th. Source: Alexandria, functional PBE-GGA.

Output
SG: Fm-3m
Fermi-level density of states: 10.833 states/eV/f.u.
formation enthalpy at 0 K: 0.8 eV per formula unit

Geometry as POSCAR:
```
Nd3Th
1.0
5.799 0.000 0.000
2.899 5.022 0.000
2.899 1.674 4.735
Nd Th
3 1
Cartesian
8.698 5.022 3.551
2.899 1.674 1.184
0.000 0.000 0.000
5.799 3.348 2.367
```



An optimized crystal structure of CuAsRh3. Source: Alexandria, functional PBE-GGA.

Output
SG: Pm-3m
Fermi-level density of states: 7.122 states/eV/f.u.
formation enthalpy at 0 K: 3.0 eV per formula unit

Geometry as POSCAR:
```
CuAsRh3
1.0
-2.589 -0.960 3.579
-0.428 -4.259 -1.451
3.680 -1.170 2.349
Rh As Cu
3 1 1
Cartesian
1.840 -0.585 1.174
-0.214 -2.130 -0.726
-1.294 -0.480 1.789
0.000 0.000 0.000
0.332 -3.194 2.238
```



An optimized crystal structure of AlAgSn. Source: Alexandria, functional PBE-GGA.

Output
SG: Pm
Fermi-level density of states: 0.928 states/eV/f.u.
formation enthalpy at 0 K: 0.2 eV per formula unit

Geometry as POSCAR:
```
AlAgSn
1.0
-5.551 -2.923 0.317
0.160 -0.623 -2.957
3.112 -5.773 1.385
Sn Al Ag
2 2 2
Cartesian
-4.362 -3.457 0.354
1.850 -3.886 0.782
-1.751 -4.521 0.722
1.288 -6.619 1.328
-0.857 -6.897 -0.277
-0.470 -2.981 -1.082
```



An optimized crystal structure of SrCuSe2. Source: Alexandria, functional PBE-GGA.

Output
SG: P2/m
uncorrected formation energy: -89.9 kJ/mol of atoms
Fermi-level density of states: 1.535 states/eV/f.u.

Geometry as POSCAR:
```
SrCuSe2
1.0
3.703 0.000 0.000
0.000 4.192 -0.199
0.000 0.280 6.601
Cu Sr Se
1 1 2
Cartesian
1.852 3.353 4.802
1.852 1.118 1.601
0.000 3.288 3.168
0.000 3.419 6.436
```